Record 1
# Er4CdSn

A relaxed structure of Er4CdSn (PBE, Alexandria).

electronic total energy = -48.11 eV per cell

extended XYZ file:
```
12
Lattice="2.6645 -10.7587 0.0000 2.6645 10.7587 0.0000 0.0000 0.0000 6.4664" Properties=species:S:1:pos:R:3 pbc="T T T"
Er 2.6645 9.3950 4.8498
Er 2.6645 6.3686 3.2683
Er 2.6645 6.3686 6.4312
Er 2.6645 2.8540 4.8498
Er 2.6645 -2.8540 1.6166
Er 2.6645 -6.3686 0.0351
Er 2.6645 -6.3686 3.1980
Er 2.6645 -9.3950 1.6166
Cd 2.6645 9.1544 1.6166
Cd 2.6645 -9.1544 4.8498
Sn 2.6645 3.4189 1.6166
Sn 2.6645 -3.4189 4.8498
```


Record 2
# ErCd2Sn

A relaxed structure of ErCd2Sn (PBE, Alexandria).

electronic total energy = -11.03 eV per cell
offset from the most stable computed form = 237 meV per atom

extended XYZ file:
```
4
Lattice="3.5589 0.0000 0.0000 0.0000 3.5589 0.0000 0.0000 0.0000 7.9924" Properties=species:S:1:pos:R:3 pbc="T T T"
Er 0.0000 0.0000 0.0000
Cd 1.7794 1.7794 2.0151
Cd 1.7794 1.7794 5.9773
Sn 0.0000 0.0000 3.9962
```


> Which formula does entry 2 have?

ErCd2Sn


> Look up the electronic total energy of the second one.

-11.03 eV per cell